# 1
A geometry-optimized FeW2 structure. Source: Alexandria, functional GGA-PBE.

Summary:
Total DFT energy (no corrections) = -11.31 eV per atom
Energy of formation from the pure elements = 0.145 eV per atom
Energy relative to the lowest polymorph listed for this composition = 81 meV per atom
Calculated volume = 89 Å³ per cell
M_tot = 0.74 μB/atom

Cell lengths 5.1439, 5.1439, 6.0648 Å; angles 72.90, 72.90, 35.48 degrees
Last column: nearest neighbours and their distance in Å.
Element x y z (fractional)
W (0.0014, 0.0014, 0.7393)  4 Fe 2.64-2.69, 5 W 2.70-2.91
W (0.6683, 0.6683, 0.9110)  3 Fe 2.65-2.97, 6 W 2.69-2.75
W (0.9986, 0.9986, 0.2607)  4 Fe 2.64-2.69, 5 W 2.70-2.91
W (0.3317, 0.3317, 0.0890)  3 Fe 2.65-2.97, 6 W 2.69-2.75
Fe (0.3295, 0.3295, 0.5793)  2 Fe 2.60, 6 W 2.64-2.69
Fe (0.6705, 0.6705, 0.4207)  2 Fe 2.60, 6 W 2.64-2.69


# 2
A geometry-optimized Fe3W structure. Source: Alexandria, functional GGA-PBE.

Summary:
Total DFT energy (no corrections) = -9.27 eV per atom
Energy of formation from the pure elements = 0.317 eV per atom
Calculated volume = 48 Å³ per cell
M_tot = 0.00 μB/atom

Cell lengths 2.6129, 2.6129, 8.1636 Å; angles 90.00, 90.00, 120.00 degrees
Last column: nearest neighbours and their distance in Å.
Element x y z (fractional)
Fe (0.0000, 0.0000, 0.4794)  9 Fe 2.40-2.61, 3 W 2.68
Fe (0.3333, 0.6667, 0.2500)  12 Fe 2.40-2.61
Fe (0.0000, 0.0000, 0.0206)  9 Fe 2.40-2.61, 3 W 2.68
W (0.3333, 0.6667, 0.7500)  6 W 2.61, 6 Fe 2.68


# 3
A geometry-optimized Fe3W structure. Source: Alexandria, functional GGA-PBE.

Summary:
Total DFT energy (no corrections) = -9.48 eV per atom
Energy of formation from the pure elements = 0.107 eV per atom
Calculated volume = 51 Å³ per cell
M_tot = 1.51 μB/atom

Cell lengths 2.5872, 4.8451, 4.8451 Å; angles 63.10, 79.75, 100.25 degrees
Last column: nearest neighbours and their distance in Å.
Element x y z (fractional)
Fe (0.0000, 0.0000, 0.0000)  6 Fe 2.54-2.59, 2 W 2.54
Fe (0.5000, 0.5000, 0.0000)  6 Fe 2.54-2.59, 2 W 2.54
Fe (0.0000, 0.5000, 0.5000)  2 W 2.54, 6 Fe 2.54-2.59
W (0.5000, 0.0000, 0.5000)  6 Fe 2.54, 2 W 2.59


# 4
A geometry-optimized FeW5 structure. Source: Alexandria, functional GGA-PBE.

Summary:
Total DFT energy (no corrections) = -12.08 eV per atom
Energy of formation from the pure elements = 0.121 eV per atom
Energy relative to the lowest polymorph listed for this composition = 28 meV per atom
Calculated volume = 93 Å³ per cell
M_tot = 0.39 μB/atom

Cell lengths 5.1861, 5.1861, 6.2655 Å; angles 72.95, 72.95, 35.55 degrees
Last column: nearest neighbours and their distance in Å.
Element x y z (fractional)
W (0.6641, 0.6641, 0.6732)  2 Fe 2.70, 6 W 2.72-2.80
W (0.3337, 0.3337, 0.8362)  2 Fe 2.70, 6 W 2.71-2.74
W (0.6663, 0.6663, 0.1638)  2 Fe 2.70, 6 W 2.71-2.74
W (0.0000, 0.0000, 0.5000)  8 W 2.72-2.74
W (0.3359, 0.3359, 0.3268)  2 Fe 2.70, 6 W 2.72-2.80
Fe (0.0000, 0.0000, 0.0000)  8 W 2.70


# 5
A geometry-optimized Fe3W5 structure. Source: Alexandria, functional GGA-PBE.

Summary:
Total DFT energy (no corrections) = -11.05 eV per atom
Energy of formation from the pure elements = 0.218 eV per atom
Energy relative to the lowest polymorph listed for this composition = 43 meV per atom
Calculated volume = 228 Å³ per cell
M_tot = 0.38 μB/atom

Cell lengths 7.2728, 7.2728, 4.9879 Å; angles 90.00, 90.00, 60.00 degrees
Last column: nearest neighbours and their distance in Å.
Element x y z (fractional)
W (0.6667, 0.6667, 0.5000)  2 W 2.49, 6 Fe 2.53
W (0.6667, 0.6667, 0.0000)  2 W 2.49, 6 Fe 2.53
W (0.2364, 0.7636, 0.7500)  5 Fe 2.58-2.79
W (0.2364, 0.0000, 0.2500)  5 Fe 2.58-2.79
W (0.3333, 0.3333, 0.5000)  2 W 2.49, 6 Fe 2.53
W (0.0000, 0.7636, 0.2500)  5 Fe 2.58-2.79
W (0.3333, 0.3333, 0.0000)  2 W 2.49, 6 Fe 2.53
W (0.7636, 0.2364, 0.2500)  5 Fe 2.58-2.79
W (0.7636, 0.0000, 0.7500)  5 Fe 2.58-2.79
W (0.0000, 0.2364, 0.7500)  5 Fe 2.58-2.79
Fe (0.5906, 0.4094, 0.7500)  9 W 2.53-2.79, 2 Fe 2.82
Fe (0.0000, 0.5906, 0.7500)  9 W 2.53-2.79, 2 Fe 2.82
Fe (0.5906, 0.0000, 0.2500)  9 W 2.53-2.79, 2 Fe 2.82
Fe (0.4094, 0.0000, 0.7500)  9 W 2.53-2.79, 2 Fe 2.82
Fe (0.4094, 0.5906, 0.2500)  9 W 2.53-2.79, 2 Fe 2.82
Fe (0.0000, 0.4094, 0.2500)  9 W 2.53-2.79, 2 Fe 2.82


# 6
A geometry-optimized FeW4 structure. Source: Alexandria, functional GGA-PBE.

Summary:
Total DFT energy (no corrections) = -10.64 eV per atom
Energy of formation from the pure elements = 1.418 eV per atom
Energy relative to the lowest polymorph listed for this composition = 1286 meV per atom
Calculated volume = 86 Å³ per cell
M_tot = 0.00 μB/atom

Cell lengths 4.4222, 4.4222, 4.4222 Å; angles 90.00, 90.00, 90.00 degrees
Last column: nearest neighbours and their distance in Å.
Element x y z (fractional)
W (0.5000, 0.0000, 0.5000)  2 Fe 2.21
W (0.0000, 0.5000, 0.5000)  2 Fe 2.21
W (0.0000, 0.0000, 0.0000)  12 W 3.13
W (0.5000, 0.5000, 0.0000)  2 Fe 2.21
Fe (0.5000, 0.5000, 0.5000)  6 W 2.21


# 7
A geometry-optimized Fe4W3 structure. Source: Alexandria, functional GGA-PBE.

Summary:
Total DFT energy (no corrections) = -10.28 eV per atom
Energy of formation from the pure elements = 0.104 eV per atom
Energy relative to the lowest polymorph listed for this composition = 0 meV per atom
Calculated volume = 94 Å³ per cell
M_tot = 1.09 μB/atom

Cell lengths 10.3248, 10.3248, 10.3248 Å; angles 162.97, 162.97, 24.17 degrees
Last column: nearest neighbours and their distance in Å.
Element x y z (fractional)
W (0.0000, 0.0000, 0.0000)  10 Fe 2.60-2.78
W (0.7085, 0.7085, 0.0000)  5 Fe 2.59-2.76, 4 W 2.74
W (0.2915, 0.2915, 0.0000)  5 Fe 2.59-2.76, 4 W 2.74
Fe (0.4280, 0.4280, 0.0000)  4 Fe 2.54, 5 W 2.60-2.76
Fe (0.8622, 0.8622, 0.0000)  4 Fe 2.54, 5 W 2.59-2.78
Fe (0.5720, 0.5720, 0.0000)  4 Fe 2.54, 5 W 2.60-2.76
Fe (0.1378, 0.1378, 0.0000)  4 Fe 2.54, 5 W 2.59-2.78


# 8
A geometry-optimized FeW2 structure. Source: Alexandria, functional GGA-PBE.

Summary:
Total DFT energy (no corrections) = -11.10 eV per atom
Energy of formation from the pure elements = 0.355 eV per atom
Energy relative to the lowest polymorph listed for this composition = 291 meV per atom
Calculated volume = 90 Å³ per cell
M_tot = 0.62 μB/atom

Cell lengths 7.6654, 7.6654, 4.5607 Å; angles 90.00, 90.00, 160.47 degrees
Last column: nearest neighbours and their distance in Å.
Element x y z (fractional)
W (0.5517, 0.4483, 0.2500)  8 W 2.60-2.87, 2 Fe 2.84
W (0.1287, 0.8713, 0.7500)  6 W 2.60-2.87, 4 Fe 2.64-2.66
W (0.4483, 0.5517, 0.7500)  8 W 2.60-2.87, 2 Fe 2.84
W (0.8713, 0.1287, 0.2500)  6 W 2.60-2.87, 4 Fe 2.64-2.66
Fe (0.7811, 0.2189, 0.7500)  6 Fe 2.60-2.79, 6 W 2.64-2.84
Fe (0.2189, 0.7811, 0.2500)  6 Fe 2.60-2.79, 6 W 2.64-2.84